# 1
VASP calculation (PBE) on crystalline Rb2Cd3Sn4 at its relaxed geometry.

a b c (Å): 10.2674 8.3907 7.1716
angles (deg): 82.16 54.05 43.78
With the nearest neighbours (Å) after each atom.
Sites, in units of the cell vectors:
Rb (0.1476, 0.1476, 0.8524)  2 Cd 3.69, 8 Sn 3.80-4.10
Rb (0.8524, 0.8524, 0.1476)  2 Cd 3.69, 8 Sn 3.80-4.10
Cd (0.0000, 0.0000, 0.5000)  2 Cd 2.86, 4 Sn 3.08
Cd (0.5000, 0.5000, 0.0000)  2 Cd 2.86, 4 Sn 3.08
Cd (0.5000, 0.5000, 0.5000)  4 Cd 3.59, 4 Sn 3.60, 4 Rb 3.69
Sn (0.1459, 0.5233, 0.4767)  2 Cd 3.08, 3 Sn 3.12-3.29
Sn (0.4767, 0.8541, 0.1459)  2 Cd 3.08, 3 Sn 3.12-3.29
Sn (0.5233, 0.1459, 0.8541)  2 Cd 3.08, 3 Sn 3.12-3.29
Sn (0.8541, 0.4767, 0.5233)  2 Cd 3.08, 3 Sn 3.12-3.29

Output
Total magnetization, μB per cell: 0.00
DFT formation energy, meV/atom: -33
Crystal system: orthorhombic
Final energy, eV per atom: -2.332

***

# 2
VASP calculation (PBE) on crystalline Rb2Cd5Sn2 at its relaxed geometry.

a b c (Å): 5.2740 5.2740 10.5918
angles (deg): 90.00 90.00 90.00
With the nearest neighbours (Å) after each atom.
Sites, in units of the cell vectors:
Rb (0.0000, 0.0000, 0.0000)  12 Cd 3.54-3.73
Rb (0.0000, 0.0000, 0.5000)  8 Cd 3.95, 8 Sn 4.04
Cd (0.0000, 0.5000, 0.2223)  2 Sn 2.98
Cd (0.0000, 0.5000, 0.7777)  2 Sn 2.98
Cd (0.5000, 0.0000, 0.2223)  2 Sn 2.98
Cd (0.5000, 0.0000, 0.7777)  2 Sn 2.98
Cd (0.5000, 0.5000, 0.0000)  8 Cd 3.54, 4 Rb 3.73, 2 Sn 3.74
Sn (0.5000, 0.5000, 0.3533)  4 Cd 2.98, 1 Sn 3.11
Sn (0.5000, 0.5000, 0.6467)  4 Cd 2.98, 1 Sn 3.11

Output
Total magnetization, μB per cell: 0.00
DFT formation energy, meV/atom: 26
Crystal system: tetragonal
Final energy, eV per atom: -1.587

***

# 3
VASP calculation (PBE) on crystalline RbCdSn4 at its relaxed geometry.

a b c (Å): 6.4305 6.4305 6.4305
angles (deg): 60.00 60.00 60.00
With the nearest neighbours (Å) after each atom.
Sites, in units of the cell vectors:
Rb (0.0000, 0.0000, 0.0000)  12 Sn 3.77, 4 Cd 3.94
Cd (0.7500, 0.7500, 0.7500)  12 Sn 3.77, 4 Rb 3.94
Sn (0.3757, 0.3757, 0.3757)  6 Sn 3.20-3.23
Sn (0.3757, 0.3757, 0.8729)  6 Sn 3.20-3.23
Sn (0.3757, 0.8729, 0.3757)  6 Sn 3.20-3.23
Sn (0.8729, 0.3757, 0.3757)  6 Sn 3.20-3.23

Output
Total magnetization, μB per cell: 0.00
DFT formation energy, meV/atom: 48
Crystal system: cubic
Energy above the most stable polymorph in this dataset, meV per atom: 121
Final energy, eV per atom: -2.934

***

# 4
VASP calculation (PBE) on crystalline RbCd2Sn2 at its relaxed geometry.

a b c (Å): 9.4202 9.4202 3.2931
angles (deg): 90.00 90.00 90.00
With the nearest neighbours (Å) after each atom.
Sites, in units of the cell vectors:
Rb (0.0000, 0.0000, 0.0000)  2 Rb 3.29, 4 Cd 3.67
Rb (0.5000, 0.5000, 0.0000)  2 Rb 3.29, 4 Cd 3.67
Cd (0.1345, 0.3655, 0.0000)  6 Sn 3.20-3.24, 2 Cd 3.29
Cd (0.3655, 0.8655, 0.0000)  6 Sn 3.20-3.24, 2 Cd 3.29
Cd (0.6345, 0.1345, 0.0000)  6 Sn 3.20-3.24, 2 Cd 3.29
Cd (0.8655, 0.6345, 0.0000)  6 Sn 3.20-3.24, 2 Cd 3.29
Sn (0.1558, 0.6558, 0.5000)  6 Cd 3.20-3.24, 2 Sn 3.29
Sn (0.3442, 0.1558, 0.5000)  6 Cd 3.20-3.24, 2 Sn 3.29
Sn (0.6558, 0.8442, 0.5000)  6 Cd 3.20-3.24, 2 Sn 3.29
Sn (0.8442, 0.3442, 0.5000)  6 Cd 3.20-3.24, 2 Sn 3.29

Output
Total magnetization, μB per cell: 0.03
DFT formation energy, meV/atom: -32
Crystal system: tetragonal
Energy above the most stable polymorph in this dataset, meV per atom: 124
Final energy, eV per atom: -2.193

***

# 5
VASP calculation (PBE) on crystalline Rb3Cd4Sn4 at its relaxed geometry.

a b c (Å): 15.1060 15.1060 15.1060
angles (deg): 160.95 159.87 27.86
With the nearest neighbours (Å) after each atom.
Sites, in units of the cell vectors:
Rb (0.0000, 0.0000, 0.0000)  8 Sn 3.90, 4 Cd 3.90
Rb (0.1492, 0.6492, 0.5000)  8 Cd 3.86-3.97, 6 Sn 3.89-3.98
Rb (0.8508, 0.3508, 0.5000)  8 Cd 3.86-3.97, 6 Sn 3.89-3.98
Cd (0.2496, 0.2496, 0.0000)  4 Sn 2.96-3.07
Cd (0.4022, 0.9022, 0.5000)  3 Sn 2.89-2.90
Cd (0.5978, 0.0978, 0.5000)  3 Sn 2.89-2.90
Cd (0.7504, 0.7504, 0.0000)  4 Sn 2.96-3.07
Sn (0.3036, 0.8036, 0.5000)  5 Cd 2.89-3.07
Sn (0.4524, 0.4524, 0.0000)  1 Sn 2.79, 2 Cd 2.90
Sn (0.5476, 0.5476, 0.0000)  1 Sn 2.79, 2 Cd 2.90
Sn (0.6964, 0.1964, 0.5000)  5 Cd 2.89-3.07

Output
Total magnetization, μB per cell: 0.00
DFT formation energy, meV/atom: -136
Crystal system: orthorhombic
Energy above the most stable polymorph in this dataset, meV per atom: 0
Final energy, eV per atom: -2.188

***

# 6
VASP calculation (PBE) on crystalline Rb2Cd2Sn at its relaxed geometry.

a b c (Å): 6.7991 6.7991 9.3606
angles (deg): 100.01 100.01 62.98
With the nearest neighbours (Å) after each atom.
Sites, in units of the cell vectors:
Rb (0.0265, 0.2700, 0.1507)  6 Cd 3.61-3.85, 1 Sn 3.99
Rb (0.2700, 0.0265, 0.6507)  6 Cd 3.61-3.85, 1 Sn 3.99
Rb (0.7300, 0.9735, 0.3493)  6 Cd 3.61-3.85, 1 Sn 3.99
Rb (0.9735, 0.7300, 0.8493)  6 Cd 3.61-3.85, 1 Sn 3.99
Cd (0.2415, 0.4949, 0.5020)  2 Sn 3.05-3.06, 1 Cd 3.25
Cd (0.4949, 0.2415, 0.0020)  2 Sn 3.05-3.06, 1 Cd 3.25
Cd (0.5051, 0.7585, 0.9980)  2 Sn 3.05-3.06, 1 Cd 3.25
Cd (0.7585, 0.5051, 0.4980)  2 Sn 3.05-3.06, 1 Cd 3.25
Sn (0.3829, 0.6171, 0.2500)  4 Cd 3.05-3.06
Sn (0.6171, 0.3829, 0.7500)  4 Cd 3.05-3.06

Output
Total magnetization, μB per cell: 0.00
DFT formation energy, meV/atom: -130
Crystal system: monoclinic
Energy above the most stable polymorph in this dataset, meV per atom: 0
Final energy, eV per atom: -1.683

***

# 7
VASP calculation (PBE) on crystalline RbCd2Sn2 at its relaxed geometry.

a b c (Å): 5.0191 5.0191 12.3742
angles (deg): 90.00 90.00 90.00
With the nearest neighbours (Å) after each atom.
Sites, in units of the cell vectors:
Rb (0.0000, 0.0000, 0.0000)  8 Sn 3.84, 8 Cd 3.98
Rb (0.5000, 0.5000, 0.5000)  8 Sn 3.84, 8 Cd 3.98
Cd (0.0000, 0.5000, 0.2500)  4 Sn 2.99
Cd (0.0000, 0.5000, 0.7500)  4 Sn 2.99
Cd (0.5000, 0.0000, 0.2500)  4 Sn 2.99
Cd (0.5000, 0.0000, 0.7500)  4 Sn 2.99
Sn (0.0000, 0.0000, 0.3816)  1 Sn 2.93, 4 Cd 2.99
Sn (0.0000, 0.0000, 0.6184)  1 Sn 2.93, 4 Cd 2.99
Sn (0.5000, 0.5000, 0.1184)  1 Sn 2.93, 4 Cd 2.99
Sn (0.5000, 0.5000, 0.8816)  1 Sn 2.93, 4 Cd 2.99

Output
Total magnetization, μB per cell: 0.00
DFT formation energy, meV/atom: -156
Crystal system: tetragonal
Energy above the most stable polymorph in this dataset, meV per atom: 0
Final energy, eV per atom: -2.317

***

# 8
VASP calculation (PBE) on crystalline RbCdSn3 at its relaxed geometry.

a b c (Å): 5.7229 5.7229 5.7229
angles (deg): 90.00 90.00 90.00
With the nearest neighbours (Å) after each atom.
Sites, in units of the cell vectors:
Rb (0.0000, 0.0000, 0.0000)  12 Sn 4.05
Cd (0.5000, 0.5000, 0.5000)  6 Sn 2.86
Sn (0.0000, 0.5000, 0.5000)  2 Cd 2.86
Sn (0.5000, 0.0000, 0.5000)  2 Cd 2.86
Sn (0.5000, 0.5000, 0.0000)  2 Cd 2.86

Output
Total magnetization, μB per cell: 0.00
DFT formation energy, meV/atom: 265
Crystal system: cubic
Energy above the most stable polymorph in this dataset, meV per atom: 419
Final energy, eV per atom: -2.513

***

# 9
VASP calculation (PBE) on crystalline Rb4CdSn4 at its relaxed geometry.

a b c (Å): 10.0316 10.0316 10.0316
angles (deg): 137.26 137.26 62.04
With the nearest neighbours (Å) after each atom.
Sites, in units of the cell vectors:
Rb (0.1875, 0.1875, 0.6505)  1 Rb 3.61, 3 Sn 3.66-3.72
Rb (0.4630, 0.8125, 0.0000)  1 Rb 3.61, 3 Sn 3.66-3.72
Rb (0.5370, 0.5370, 0.3495)  1 Rb 3.61, 3 Sn 3.66-3.72
Rb (0.8125, 0.4630, 0.0000)  1 Rb 3.61, 3 Sn 3.66-3.72
Cd (0.0000, 0.0000, 0.0000)  4 Sn 2.91
Sn (0.0082, 0.0082, 0.7225)  1 Sn 2.87, 1 Cd 2.91
Sn (0.2857, 0.2857, 0.2775)  1 Sn 2.87, 1 Cd 2.91
Sn (0.7143, 0.9918, 0.0000)  1 Sn 2.87, 1 Cd 2.91
Sn (0.9918, 0.7143, 0.0000)  1 Sn 2.87, 1 Cd 2.91

Output
Total magnetization, μB per cell: 0.00
DFT formation energy, meV/atom: 61
Crystal system: tetragonal
Final energy, eV per atom: -2.250

***

# 10
VASP calculation (PBE) on crystalline RbCd3Sn2 at its relaxed geometry.

a b c (Å): 9.3004 9.3004 8.9937
angles (deg): 112.01 112.01 30.99
With the nearest neighbours (Å) after each atom.
Sites, in units of the cell vectors:
Rb (0.1555, 0.1555, 0.0728)  7 Sn 3.76-4.02, 8 Cd 4.00-4.19
Rb (0.8445, 0.8445, 0.9272)  7 Sn 3.76-4.02, 8 Cd 4.00-4.19
Cd (0.0321, 0.0321, 0.3599)  3 Sn 2.95-3.04, 3 Cd 3.15-3.28
Cd (0.3123, 0.3123, 0.5526)  4 Sn 2.95-3.24, 3 Cd 3.10-3.23
Cd (0.4069, 0.4069, 0.3278)  3 Sn 2.94, 3 Cd 3.10-3.28
Cd (0.5931, 0.5931, 0.6722)  3 Sn 2.94, 3 Cd 3.10-3.28
Cd (0.6877, 0.6877, 0.4474)  4 Sn 2.95-3.24, 3 Cd 3.10-3.23
Cd (0.9679, 0.9679, 0.6401)  3 Sn 2.95-3.04, 3 Cd 3.15-3.28
Sn (0.1814, 0.1814, 0.6743)  6 Cd 2.94-3.24
Sn (0.4739, 0.4739, 0.8221)  4 Cd 2.94-2.97, 1 Sn 2.96
Sn (0.5261, 0.5261, 0.1779)  4 Cd 2.94-2.97, 1 Sn 2.96
Sn (0.8186, 0.8186, 0.3257)  6 Cd 2.94-3.24

Output
Total magnetization, μB per cell: 0.00
DFT formation energy, meV/atom: -110
Crystal system: monoclinic
Final energy, eV per atom: -2.063

***

# 11
VASP calculation (PBE) on crystalline RbCdSn2 at its relaxed geometry.

a b c (Å): 3.9458 3.9458 8.2686
angles (deg): 90.00 90.00 90.00
With the nearest neighbours (Å) after each atom.
Sites, in units of the cell vectors:
Rb (0.0000, 0.0000, 0.0000)  8 Sn 3.84, 4 Rb 3.95, 2 Cd 4.13
Cd (0.0000, 0.0000, 0.5000)  8 Sn 3.16
Sn (0.5000, 0.5000, 0.3193)  1 Sn 2.99, 4 Cd 3.16
Sn (0.5000, 0.5000, 0.6807)  1 Sn 2.99, 4 Cd 3.16

Output
Total magnetization, μB per cell: 0.00
DFT formation energy, meV/atom: -70
Crystal system: tetragonal
Final energy, eV per atom: -2.542

***

# 12
VASP calculation (PBE) on crystalline RbCdSn3 at its relaxed geometry.

a b c (Å): 13.1496 5.3523 4.9730
angles (deg): 90.00 112.20 90.00
With the nearest neighbours (Å) after each atom.
Sites, in units of the cell vectors:
Rb (0.0000, 0.0000, 0.0000)  12 Sn 3.84-4.14, 4 Cd 3.95
Rb (0.5000, 0.5000, 0.0000)  12 Sn 3.84-4.14, 4 Cd 3.95
Cd (0.3772, 0.0000, 0.3774)  5 Sn 2.91-3.04
Cd (0.8772, 0.5000, 0.3774)  5 Sn 2.91-3.04
Sn (0.1164, 0.5000, 0.6158)  1 Cd 2.91, 4 Sn 3.03-3.09
Sn (0.2431, 0.0000, 0.7432)  2 Cd 2.97-2.98, 2 Sn 3.09
Sn (0.2590, 0.5000, 0.2581)  2 Sn 3.03, 2 Cd 3.04
Sn (0.6164, 0.0000, 0.6158)  1 Cd 2.91, 4 Sn 3.03-3.09
Sn (0.7431, 0.5000, 0.7432)  2 Cd 2.97-2.98, 2 Sn 3.09
Sn (0.7590, 0.0000, 0.2581)  2 Sn 3.03, 2 Cd 3.04

Output
Total magnetization, μB per cell: 0.00
DFT formation energy, meV/atom: -154
Crystal system: monoclinic
Energy above the most stable polymorph in this dataset, meV per atom: 0
Final energy, eV per atom: -2.932